A relaxed structure of Mg2Ga6Ag, computed with PBE.

a = 10.6327 Å, b = 8.5760 Å, c = 4.3503 Å
α = 90.00°, β = 113.39°, γ = 90.00°
Last column: nearest neighbours and their distance in Å.
Space group C2/m (No. 12)
Unique sites:
Mg 0.1737 0.0000 0.1733 x4  8 Ga 2.87-3.09, 1 Ag 3.18
Ga 0.0000 0.3006 0.0000 x4  4 Ga 2.76-2.80, 2 Ag 2.77, 2 Mg 3.09
Ga 0.1617 0.2174 0.6621 x8  4 Ga 2.76-2.85, 3 Mg 2.87-2.91, 1 Ag 2.89
Ag 0.0000 0.5000 0.5000 x2  8 Ga 2.77-2.89

Computed properties:
Calculated total energy ... -48.44 eV for the cell shown
Formation enthalpy at 0 K ... -0.002 eV/atom
Mass density ... 5.2 g cm⁻³
V ... 20.2 A^3/atom